(1)
Compound: Pu2FeRu
Source: Alexandria
Functional: PBE-GGA
Structure: optimized geometry

POSCAR file:
```
Pu2FeRu
1.0
3.321 0.000 0.000
0.000 3.321 0.000
0.000 0.000 6.827
Pu Fe Ru
2 1 1
direct
0.000 0.000 0.244
0.000 0.000 0.756
0.500 0.500 0.000
0.500 0.500 0.500
```

Density of states at the Fermi level   9.91 states/eV per cell
Energy of formation from the pure elements   -0.036 eV per atom

(2)
Compound: Pu2FeRu
Source: Alexandria
Functional: PBE-GGA
Structure: optimized geometry

POSCAR file:
```
Pu2FeRu
1.0
2.649 0.000 0.000
0.000 4.771 0.000
-0.772 0.000 4.980
Pu Fe Ru
2 1 1
direct
0.171 0.000 0.230
0.829 0.000 0.770
0.500 0.500 0.000
0.000 0.500 0.500
```

Density of states at the Fermi level   8.83 states/eV per cell
Energy of formation from the pure elements   0.330 eV per atom

(3)
Compound: Pu4FeRu3
Source: Alexandria
Functional: PBE-GGA
Structure: optimized geometry

POSCAR file:
```
Pu4FeRu3
1.0
-2.371 2.371 6.825
2.371 -2.371 6.825
2.371 2.371 -6.825
Pu Fe Ru
4 1 3
direct
0.124 0.624 0.500
0.376 0.876 0.500
0.624 0.124 0.500
0.876 0.376 0.500
0.000 0.000 0.000
0.248 0.248 0.000
0.500 0.500 0.000
0.752 0.752 0.000
```

Density of states at the Fermi level   21.09 states/eV per cell
Energy of formation from the pure elements   -0.089 eV per atom

(4)
Compound: PuFe2Ru
Source: Alexandria
Functional: PBE-GGA
Structure: optimized geometry

POSCAR file:
```
PuFe2Ru
1.0
3.805 0.000 0.000
0.000 3.805 0.000
0.000 0.000 4.213
Pu Fe Ru
1 2 1
direct
0.000 0.000 0.000
0.000 0.500 0.500
0.500 0.000 0.500
0.500 0.500 0.000
```

ΔE to the lowest computed polymorph   0 meV per atom
Density of states at the Fermi level   4.49 states/eV per cell
Energy of formation from the pure elements   -0.013 eV per atom

(5)
Compound: PuFe2Ru
Source: Alexandria
Functional: PBE-GGA
Structure: optimized geometry

POSCAR file:
```
PuFe2Ru
1.0
0.000 3.104 3.104
3.104 0.000 3.104
3.104 3.104 0.000
Pu Fe Ru
1 2 1
direct
0.000 0.000 0.000
0.250 0.250 0.250
0.750 0.750 0.750
0.500 0.500 0.500
```

ΔE to the lowest computed polymorph   119 meV per atom
Density of states at the Fermi level   6.91 states/eV per cell
Energy of formation from the pure elements   0.105 eV per atom

(6)
Compound: SmPuFeRu
Source: Alexandria
Functional: PBE-GGA
Structure: optimized geometry

POSCAR file:
```
SmPuFeRu
1.0
0.000 3.417 3.417
3.417 0.000 3.417
3.417 3.417 0.000
Sm Pu Fe Ru
1 1 1 1
direct
0.000 0.000 0.000
0.500 0.500 0.500
0.250 0.250 0.250
0.750 0.750 0.750
```

Density of states at the Fermi level   5.11 states/eV per cell
Energy of formation from the pure elements   -0.001 eV per atom

What did the fifth record say?
Compound: PuFe2Ru
Source: Alexandria
Functional: PBE-GGA
Structure: optimized geometry

POSCAR file:
```
PuFe2Ru
1.0
0.000 3.104 3.104
3.104 0.000 3.104
3.104 3.104 0.000
Pu Fe Ru
1 2 1
direct
0.000 0.000 0.000
0.250 0.250 0.250
0.750 0.750 0.750
0.500 0.500 0.500
```

ΔE to the lowest computed polymorph   119 meV per atom
Density of states at the Fermi level   6.91 states/eV per cell
Energy of formation from the pure elements   0.105 eV per atom

Q: The lowest energy of formation from the pure elements belongs to which entry?
A: Pu4FeRu3

Q: Which of these has the highest density of states at the Fermi level?
A: Pu4FeRu3

Q: Which value of energy of formation from the pure elements does entry 4 give?
A: -0.013 eV per atom